Below is a relaxed Sc4ZnSiO crystal, with properties calculated at the GGA-PBE level.

Summary:
M_tot = 0.00 μB/cell
ρ = 3.760 g cm⁻³
Uncorrected formation energy = -1.160 eV per atom
DOS at the Fermi energy = 0.461 states/eV/atom

Lattice parameters (Å, degrees): 5.9577 5.9518 7.7977 90.00 112.46 90.00
Fractional coordinates of all 14 atoms:
Zn (0.6148, 0.7500, 0.2296)
Zn (0.3852, 0.2500, 0.7704)
Sc (0.5000, 0.0000, 0.5000)
Sc (0.0000, 0.0000, 0.5000)
Sc (0.0794, 0.7500, 0.1588)
Sc (0.0000, 0.5000, 0.5000)
Sc (0.4214, 0.7500, 0.8428)
Sc (0.5000, 0.5000, 0.5000)
Sc (0.5786, 0.2500, 0.1572)
Sc (0.9206, 0.2500, 0.8412)
Si (0.1136, 0.2500, 0.2271)
Si (0.8864, 0.7500, 0.7729)
O (0.2504, 0.7500, 0.5008)
O (0.7496, 0.2500, 0.4992)

=====

Below is a relaxed ZrSc2SiO crystal, with properties calculated at the GGA-PBE level.

Summary:
M_tot = 0.00 μB/cell
ρ = 4.545 g cm⁻³
Uncorrected formation energy = -1.367 eV per atom
DOS at the Fermi energy = 0.625 states/eV/atom

Lattice parameters (Å, degrees): 4.2300 4.5982 4.2300 90.00 90.00 90.00
Fractional coordinates of all 5 atoms:
Si (0.5000, 0.5000, 0.5000)
O (0.0000, 0.0000, 0.0000)
Sc (0.0000, 0.0000, 0.5000)
Sc (0.5000, 0.0000, 0.0000)
Zr (0.0000, 0.5000, 0.0000)